{
  "formula": "CaCrI2O",
  "functional": "PBE+U",
  "state": "relaxed",
  "lattice_angstrom": [[5.863, 0.000, 0.000], [0.000, 5.863, 0.000], [0.000, 0.000, 3.840]],
  "species": ["Ca", "Cr", "I", "I", "O"],
  "frac_coords": [[0.000, 0.000, 0.000], [0.500, 0.500, 0.500], [0.000, 0.500, 0.500], [0.500, 0.000, 0.500], [0.500, 0.500, 0.000]],
  "dos_at_fermi_per_ev_cell": 2.5,
  "final_energy_ev_per_atom": -4.510,
  "de_polymorph_mev_per_atom": 0
}

***

{
  "formula": "CaCrIO2",
  "functional": "PBE+U",
  "state": "relaxed",
  "lattice_angstrom": [[4.152, 0.000, 0.000], [0.000, 4.152, 0.000], [0.000, 0.000, 5.242]],
  "species": ["Ca", "Cr", "I", "O", "O"],
  "frac_coords": [[0.000, 0.000, 0.000], [0.500, 0.500, 0.500], [0.500, 0.500, 0.000], [0.000, 0.500, 0.500], [0.500, 0.000, 0.500]],
  "dos_at_fermi_per_ev_cell": 2.2,
  "final_energy_ev_per_atom": -5.270,
  "de_polymorph_mev_per_atom": 0
}

***

{
  "formula": "CaCrI2O",
  "functional": "PBE+U",
  "state": "relaxed",
  "lattice_angstrom": [[6.153, 0.000, 0.000], [0.000, 6.153, 0.000], [0.000, 0.000, 4.201]],
  "species": ["Ca", "Cr", "I", "I", "O"],
  "frac_coords": [[0.000, 0.000, 0.000], [0.500, 0.500, 0.500], [0.000, 0.500, 0.000], [0.500, 0.000, 0.000], [0.000, 0.000, 0.500]],
  "dos_at_fermi_per_ev_cell": 9.2,
  "final_energy_ev_per_atom": -4.120,
  "de_polymorph_mev_per_atom": 391
}